Computed, not measured: an optimized crystal structure of TlCdO2 at the PBE-GGA level of DFT.

Cell: 3.4584 3.4584 20.0246 Å, 90.00 90.00 120.00°
Space group R-3m (No. 166, hexagonal axes)
Symmetry-distinct sites (fractional):
Tl: 0.0000 0.0000 0.0000
Cd: 0.0000 0.0000 0.5000
O: 0.0000 0.0000 0.3917

## Properties
uncorrected formation energy: -53 kJ per mole of atoms
distance to the lowest polymorph of the same formula: 234 meV per atom
VASP energy: -3.848 eV per atom

---

Computed, not measured: an optimized crystal structure of YFe4P12 at the PBE-GGA level of DFT.

Cell: 7.7808 7.7808 7.7808 Å, 90.00 90.00 90.00°
Space group Im-3 (No. 204)
Symmetry-distinct sites (fractional):
Y: 0.0000 0.0000 0.0000
Fe: 0.2500 0.2500 0.2500
P: 0.0000 0.1507 0.3523

## Properties
VASP energy: -6.775 eV per atom

---

Computed, not measured: an optimized crystal structure of RbIn3Ag2 at the PBE-GGA level of DFT.

Cell: 12.1258 9.5166 5.7963 Å, 90.00 90.00 90.00°
Space group Cmcm (No. 63)
Symmetry-distinct sites (fractional):
Rb: 0.0000 0.1506 0.2500
In: 0.0000 0.4292 0.7500
In: 0.1914 0.2282 0.7500
Ag: 0.2126 0.5000 0.0000

## Properties
VASP energy: -2.556 eV per atom

---

Computed, not measured: an optimized crystal structure of KSc2Se at the PBE-GGA level of DFT.

Cell: 4.3489 4.3489 10.6240 Å, 90.00 90.00 90.00°
Space group I-4m2 (No. 119)
Symmetry-distinct sites (fractional):
K: 0.0000 0.0000 0.0000
Sc: 0.0000 0.0000 0.5000
Sc: 0.0000 0.5000 0.7500
Se: 0.0000 0.5000 0.2500

## Properties
uncorrected formation energy: 6 kJ per mole of atoms
VASP energy: -4.247 eV per atom

---

Which of these has the lowest VASP energy?
YFe4P12